Here is VSiO4 after structural relaxation from the Alexandria database. Energies are from PBE+U.

Unit cell a=5.2069 b=5.2069 c=5.4742 alpha=118.40 beta=118.40 gamma=90.00
Last column: nearest neighbours and their distance in Å.
Positions (direct):
V (0.5000, 0.5000, 0.0000)  4 O 1.81
Si (0.7500, 0.2500, 0.5000)  4 O 1.64
O (0.5374, 0.8951, 0.2693)  1 Si 1.64, 1 V 1.81
O (0.7319, 0.3742, 0.2693)  1 Si 1.64, 1 V 1.81
O (0.1049, 0.2681, 0.7307)  1 Si 1.64, 1 V 1.81
O (0.6258, 0.4626, 0.7307)  1 Si 1.64, 1 V 1.81

* VASP energy: -7.747 eV per atom
* magnetic moment: 1.00 μB/cell